{
  "formula": "PaNb2Cu",
  "functional": "GGA-PBE",
  "state": "optimized geometry",
  "e_above_lowest_polymorph_kcal_per_mol_atoms": 0.00,
  "delta_e_f_ev_per_atom": 0.177,
  "sg": "No. 123",
  "lattice": [[3.6830, 0.0000, 0.0000], [0.0000, 4.4800, 0.0000], [0.0000, 0.0000, 4.4800]],
  "species": ["Nb", "Nb", "Pa", "Cu"],
  "frac_coords": [[0.0000, 0.0000, 0.5000], [0.0000, 0.5000, 0.0000], [0.5000, 0.0000, 0.0000], [0.5000, 0.5000, 0.5000]]
}



{
  "formula": "Pa2NbCu",
  "functional": "GGA-PBE",
  "state": "optimized geometry",
  "e_above_lowest_polymorph_kcal_per_mol_atoms": 0.00,
  "delta_e_f_ev_per_atom": 0.208,
  "sg": "No. 123",
  "lattice": [[-2.3041, 2.2741, -3.1907], [-2.4371, -3.4109, -0.6712], [-2.7301, 1.3705, 2.9483]],
  "species": ["Nb", "Pa", "Pa", "Cu"],
  "frac_coords": [[0.5000, 0.5000, 0.5000], [0.0000, 0.0000, 0.5000], [0.0000, 0.5000, 0.0000], [0.5000, 0.0000, 0.0000]]
}



{
  "formula": "PaNb2Cu",
  "functional": "GGA-PBE",
  "state": "optimized geometry",
  "e_above_lowest_polymorph_kcal_per_mol_atoms": 8.03,
  "delta_e_f_ev_per_atom": 0.525,
  "sg": "No. 166",
  "lattice": [[-2.4851, 1.5255, 0.4270], [-2.0483, -1.0112, 1.8621], [2.9107, 5.2428, 8.3809]],
  "species": ["Nb", "Nb", "Pa", "Cu"],
  "frac_coords": [[0.0946, 0.0946, 0.7161], [0.9054, 0.9054, 0.2839], [0.0000, 0.0000, 0.0000], [0.5000, 0.5000, 0.5000]]
}



{
  "formula": "NbCuPb2",
  "functional": "GGA-PBE",
  "state": "optimized geometry",
  "e_above_lowest_polymorph_kcal_per_mol_atoms": 0.00,
  "delta_e_f_ev_per_atom": 0.642,
  "sg": "No. 225",
  "lattice": [[0.0000, 3.5209, 3.5209], [3.5209, 0.0000, 3.5209], [3.5209, 3.5209, 0.0000]],
  "species": ["Pb", "Pb", "Nb", "Cu"],
  "frac_coords": [[0.2500, 0.2500, 0.2500], [0.7500, 0.7500, 0.7500], [0.5000, 0.5000, 0.5000], [0.0000, 0.0000, 0.0000]]
}



{
  "formula": "Nb2CuPb",
  "functional": "GGA-PBE",
  "state": "optimized geometry",
  "delta_e_f_ev_per_atom": 0.564,
  "sg": "No. 122",
  "lattice": [[7.4414, 0.0000, 0.0000], [0.0000, 7.4414, 0.0000], [3.7207, 3.7207, 2.8204]],
  "species": ["Pb", "Pb", "Nb", "Nb", "Nb", "Nb", "Cu", "Cu"],
  "frac_coords": [[0.0000, 0.0000, 0.0000], [0.7500, 0.2500, 0.5000], [0.6000, 0.1250, 0.2500], [0.1500, 0.6250, 0.2500], [0.3750, 0.4000, 0.7500], [0.8750, 0.8500, 0.7500], [0.5000, 0.5000, 0.0000], [0.2500, 0.7500, 0.5000]]
}



{
  "formula": "NbCuPb2",
  "functional": "GGA-PBE",
  "state": "optimized geometry",
  "e_above_lowest_polymorph_kcal_per_mol_atoms": 0.33,
  "delta_e_f_ev_per_atom": 0.657,
  "sg": "No. 122",
  "lattice": [[-5.2196, 5.4496, -0.7266], [-4.8586, -5.0411, -2.9070], [-6.0939, -0.4255, 1.0380]],
  "species": ["Pb", "Pb", "Pb", "Pb", "Nb", "Nb", "Cu", "Cu"],
  "frac_coords": [[0.5913, 0.1250, 0.2500], [0.1587, 0.6250, 0.2500], [0.3750, 0.4087, 0.7500], [0.8750, 0.8413, 0.7500], [0.0000, 0.0000, 0.0000], [0.7500, 0.2500, 0.5000], [0.5000, 0.5000, 0.0000], [0.2500, 0.7500, 0.5000]]
}



{
  "formula": "NbCuSi2Pb",
  "functional": "GGA-PBE",
  "state": "optimized geometry",
  "formation_energy_uncorrected_ev_per_atom": 0.673,
  "sg": "No. 123",
  "lattice": [[4.8804, 0.0000, 0.0000], [0.0000, 4.9642, 0.0000], [0.0000, 0.0000, 4.8804]],
  "species": ["Pb", "Nb", "Si", "Si", "Cu"],
  "frac_coords": [[0.5000, 0.5000, 0.5000], [0.0000, 0.0000, 0.0000], [0.0000, 0.0000, 0.5000], [0.5000, 0.0000, 0.0000], [0.0000, 0.5000, 0.0000]]
}



{
  "formula": "Nb2CuTcPb",
  "functional": "GGA-PBE",
  "state": "optimized geometry",
  "delta_e_f_ev_per_atom": 1.369,
  "sg": "No. 123",
  "lattice": [[4.7465, 0.0000, 0.0000], [0.0000, 4.7465, 0.0000], [0.0000, 0.0000, 4.6512]],
  "species": ["Pb", "Nb", "Nb", "Tc", "Cu"],
  "frac_coords": [[0.0000, 0.0000, 0.5000], [0.0000, 0.5000, 0.0000], [0.5000, 0.0000, 0.0000], [0.5000, 0.5000, 0.5000], [0.0000, 0.0000, 0.0000]]
}



{
  "formula": "NbTlCuPb2",
  "functional": "GGA-PBE",
  "state": "optimized geometry",
  "delta_e_f_ev_per_atom": 1.349,
  "sg": "No. 123",
  "lattice": [[5.7798, 0.0000, 0.0000], [0.0000, 4.8104, 0.0000], [0.0000, 0.0000, 5.7798]],
  "species": ["Pb", "Pb", "Tl", "Nb", "Cu"],
  "frac_coords": [[0.0000, 0.0000, 0.5000], [0.5000, 0.0000, 0.0000], [0.0000, 0.0000, 0.0000], [0.5000, 0.5000, 0.5000], [0.0000, 0.5000, 0.0000]]
}



{
  "formula": "NbV2CuPb",
  "functional": "GGA-PBE",
  "state": "optimized geometry",
  "delta_e_f_ev_per_atom": 1.875,
  "sg": "No. 123",
  "lattice": [[-0.0988, -4.4882, 1.9968], [4.0304, -0.9384, -1.9099], [2.2919, 1.7244, 3.9893]],
  "species": ["Pb", "Nb", "Cu", "V", "V"],
  "frac_coords": [[0.0000, 0.0000, 0.0000], [0.5000, 0.5000, 0.5000], [0.0000, 0.5000, 0.0000], [0.0000, 0.0000, 0.5000], [0.5000, 0.0000, 0.0000]]
}



{
  "formula": "NbCuPd4",
  "functional": "GGA-PBE",
  "state": "optimized geometry",
  "e_above_lowest_polymorph_kcal_per_mol_atoms": 6.94,
  "delta_e_f_ev_per_atom": 0.008,
  "sg": "No. 123",
  "lattice": [[6.7102, 0.1442, 0.0000], [-0.1205, 5.6095, 0.0000], [0.0000, 0.0000, 5.6108]],
  "species": ["Nb", "Nb", "Cu", "Cu", "Pd", "Pd", "Pd", "Pd", "Pd", "Pd", "Pd", "Pd"],
  "frac_coords": [[0.0000, 0.2500, 0.7502], [0.0000, 0.7500, 0.2498], [0.5000, 0.2500, 0.2502], [0.5000, 0.7500, 0.7498], [0.2578, 0.5000, 0.0000], [0.2575, 0.5000, 0.5000], [0.7422, 0.0000, 0.0000], [0.7425, 0.5000, 0.5000], [0.7425, 0.0000, 0.5000], [0.2578, 0.0000, 0.0000], [0.2575, 0.0000, 0.5000], [0.7422, 0.5000, 0.0000]]
}



{
  "formula": "Nb2CuPd8",
  "functional": "GGA-PBE",
  "state": "optimized geometry",
  "e_above_lowest_polymorph_kcal_per_mol_atoms": 2.89,
  "delta_e_f_ev_per_atom": -0.094,
  "sg": "No. 12",
  "lattice": [[0.3793, -3.9031, 2.5023], [6.3787, -2.7368, 0.5127], [4.2301, 2.0169, 5.3789]],
  "species": ["Nb", "Nb", "Cu", "Pd", "Pd", "Pd", "Pd", "Pd", "Pd", "Pd", "Pd"],
  "frac_coords": [[0.0000, 0.3054, 0.3893], [0.0000, 0.6946, 0.6107], [0.5000, 0.0000, 0.0000], [0.8611, 0.1030, 0.2256], [0.8611, 0.3286, 0.7744], [0.3059, 0.3897, 0.0000], [0.5000, 0.7929, 0.4142], [0.5000, 0.2071, 0.5858], [0.6941, 0.6103, 0.0000], [0.1389, 0.6714, 0.2256], [0.1389, 0.8970, 0.7744]]
}



{
  "formula": "NbCuPd3",
  "functional": "GGA-PBE",
  "state": "optimized geometry",
  "e_above_lowest_polymorph_kcal_per_mol_atoms": 26.13,
  "delta_e_f_ev_per_atom": 1.095,
  "sg": "No. 221",
  "lattice": [[4.8237, 0.0000, 0.0000], [0.0000, 4.8237, 0.0000], [0.0000, 0.0000, 4.8237]],
  "species": ["Nb", "Cu", "Pd", "Pd", "Pd"],
  "frac_coords": [[0.0000, 0.0000, 0.0000], [0.5000, 0.5000, 0.5000], [0.0000, 0.5000, 0.0000], [0.0000, 0.0000, 0.5000], [0.5000, 0.0000, 0.0000]]
}



{
  "formula": "Nb2CuPd2",
  "functional": "GGA-PBE",
  "state": "optimized geometry",
  "e_above_lowest_polymorph_kcal_per_mol_atoms": 0.00,
  "delta_e_f_ev_per_atom": -0.105,
  "sg": "No. 12",
  "lattice": [[4.5825, 0.0000, 0.0000], [0.0000, 4.9727, 0.1816], [-2.2913, 0.2931, 7.0625]],
  "species": ["Nb", "Nb", "Nb", "Nb", "Cu", "Cu", "Pd", "Pd", "Pd", "Pd"],
  "frac_coords": [[0.3618, 0.3603, 0.7235], [0.8475, 0.9716, 0.6951], [0.1525, 0.3819, 0.3050], [0.6382, 0.9940, 0.2763], [0.4432, 0.8621, 0.8863], [0.5569, 0.4923, 0.1138], [0.0456, 0.9039, 0.0912], [0.7484, 0.5031, 0.4967], [0.2516, 0.8507, 0.5032], [0.9544, 0.4488, 0.9089]]
}